The following is a DFT calculation (PBE) of a relaxed Hf6NiPt crystal.

Output
formation energy = 11 meV per atom
mass density = 12.83 Mg/m³

Lattice parameters (Å, degrees): 6.0492 10.5499 6.0148 90.00 116.75 90.00
Closest atoms and distances in Å follow each position.
Space group C2/m (No. 12)
One atom of each set of equivalent atoms:
Hf1 0.2360 0.2011 0.2416 x8  1 Ni 2.60, 1 Pt 2.69
Hf2 0.2401 0.0000 0.7619 x4  1 Ni 2.46, 1 Pt 2.68
Ni1 0.0000 0.0000 0.0000 x2  6 Hf 2.46-2.60
Pt1 0.0000 0.5000 0.5000 x2  6 Hf 2.68-2.69